[1]
Entry from Alexandria via LeMat-Bulk: crystalline HRh3I at its relaxed geometry (PBE).

## Properties
For the calculated total energy, the calculation gives -4.9805 eV/atom. The space group is Pm-3m. As for the density of states at the Fermi level: 9.369 states/eV per cell.

Cell and atoms, written as POSCAR:
```
HRh3I
1.0
4.088 0.000 0.000
0.000 4.088 0.000
0.000 0.000 4.088
Rh I H
3 1 1
Direct
0.500 0.000 0.000 Rh
0.000 0.500 0.000 Rh
0.000 0.000 0.500 Rh
0.500 0.500 0.500 I
0.000 0.000 0.000 H
```


[2]
Entry from Alexandria via LeMat-Bulk: crystalline Rb2ZnWI6 at its relaxed geometry (PBE).

## Properties
For the calculated total energy, the calculation gives -3.0562 eV/atom. The space group is I4/mmm. As for the density of states at the Fermi level: 6.703 states/eV per cell.

Cell and atoms, written as POSCAR:
```
Rb2ZnWI6
1.0
-6.250 -1.720 -5.156
-2.161 -6.423 4.762
-7.745 -0.567 2.924
I Rb Zn W
6 2 1 1
Direct
0.241 0.759 0.000 I
0.759 0.241 0.000 I
0.240 0.240 0.520 I
0.759 0.759 0.000 I
0.760 0.760 0.480 I
0.241 0.241 0.000 I
0.750 0.250 0.500 Rb
0.250 0.750 0.500 Rb
0.500 0.500 0.000 Zn
0.000 0.000 0.000 W
```


[3]
Entry from Alexandria via LeMat-Bulk: crystalline ScBrF2 at its relaxed geometry (PBE).

## Properties
For the calculated total energy, the calculation gives -4.5366 eV/atom. The space group is R-3m. As for the density of states at the Fermi level: 2.115 states/eV per cell.

Cell and atoms, written as POSCAR:
```
ScBrF2
1.0
1.935 0.000 10.181
-0.968 1.676 10.181
-0.968 -1.676 10.181
F Br Sc
2 1 1
Direct
0.939 0.939 0.939 F
0.061 0.061 0.061 F
0.500 0.500 0.500 Br
0.000 0.000 0.000 Sc
```


[4]
Entry from Alexandria via LeMat-Bulk: crystalline CsBaNa17 at its relaxed geometry (PBE).

## Properties
The space group is R3m. The calculation puts the formation energy at 0.017 eV/atom. As for the density of states at the Fermi level: 10.210 states/eV per cell.

Cell and atoms, written as POSCAR:
```
CsBaNa17
1.0
9.305 0.092 1.200
1.067 9.244 1.200
0.102 0.092 9.382
Na Cs Ba
17 1 1
Direct
0.005 0.703 0.294 Na
0.499 0.005 0.005 Na
0.645 0.645 0.154 Na
0.905 0.905 0.905 Na
0.855 0.345 0.345 Na
0.005 0.499 0.005 Na
0.294 0.703 0.005 Na
0.005 0.005 0.499 Na
0.294 0.005 0.703 Na
0.645 0.154 0.645 Na
0.005 0.294 0.703 Na
0.703 0.294 0.005 Na
0.345 0.345 0.855 Na
0.100 0.100 0.100 Na
0.154 0.645 0.645 Na
0.703 0.005 0.294 Na
0.345 0.855 0.345 Na
0.657 0.657 0.657 Cs
0.334 0.334 0.334 Ba
```


[5]
Entry from Alexandria via LeMat-Bulk: crystalline LiBe at its relaxed geometry (PBE).

## Properties
The space group is Cm. The calculation puts the formation energy at 0.226 eV/atom. As for the density of states at the Fermi level: 1.841 states/eV per cell.

Cell and atoms, written as POSCAR:
```
LiBe
1.0
1.142 4.935 -0.013
-1.142 4.935 -0.013
0.000 1.344 5.909
Li Be
3 3
Direct
0.943 0.943 0.635 Li
0.270 0.270 0.958 Li
0.335 0.335 0.318 Li
0.032 0.032 0.983 Be
0.592 0.592 0.280 Be
0.662 0.662 0.660 Be
```


[6]
Entry from Alexandria via LeMat-Bulk: crystalline NaAlTe2 at its relaxed geometry (PBE).

## Properties
For the calculated total energy, the calculation gives -3.1229 eV/atom. The space group is Cmcm. As for the density of states at the Fermi level: 3.538 states/eV per cell.

Cell and atoms, written as POSCAR:
```
NaAlTe2
1.0
4.448 7.589 -7.961
-7.115 -5.242 7.916
2.462 2.877 4.118
Al Te Na
2 4 2
Direct
0.063 0.937 0.250 Al
0.937 0.063 0.750 Al
0.944 0.056 0.250 Te
0.823 0.177 0.750 Te
0.177 0.823 0.250 Te
0.056 0.944 0.750 Te
0.681 0.319 0.750 Na
0.319 0.681 0.250 Na
```


[7]
Entry from Alexandria via LeMat-Bulk: crystalline KTlPb3 at its relaxed geometry (PBE).

## Properties
The space group is Cmcm. The calculation puts the formation energy at -0.003 eV/atom. As for the density of states at the Fermi level: 7.729 states/eV per cell.

Cell and atoms, written as POSCAR:
```
KTlPb3
1.0
-2.035 -5.588 -2.889
3.417 -3.513 4.389
-8.954 1.560 3.289
Pb Tl K
6 2 2
Direct
0.000 0.000 0.000 Pb
0.750 0.613 0.757 Pb
0.250 0.856 0.243 Pb
0.250 0.387 0.243 Pb
0.500 0.000 0.000 Pb
0.750 0.144 0.757 Pb
0.250 0.447 0.894 Tl
0.750 0.553 0.106 Tl
0.750 0.189 0.378 K
0.250 0.811 0.622 K
```


[8]
Entry from Alexandria via LeMat-Bulk: crystalline CaRu3S at its relaxed geometry (PBE).

## Properties
For the calculated total energy, the calculation gives -6.7314 eV/atom. The space group is Pm-3m. As for the density of states at the Fermi level: 3.528 states/eV per cell.

Cell and atoms, written as POSCAR:
```
CaRu3S
1.0
4.417 0.000 0.000
0.000 4.417 0.000
0.000 0.000 4.417
Ca Ru S
1 3 1
Direct
0.500 0.500 0.500 Ca
0.000 0.500 0.000 Ru
0.500 0.000 0.000 Ru
0.000 0.000 0.500 Ru
0.000 0.000 0.000 S
```


[9]
Entry from Alexandria via LeMat-Bulk: crystalline RbTiAsBr2 at its relaxed geometry (PBE).

## Properties
For the calculated total energy, the calculation gives -4.2401 eV/atom. The space group is P4/mmm. As for the density of states at the Fermi level: 2.070 states/eV per cell.

Cell and atoms, written as POSCAR:
```
RbTiAsBr2
1.0
5.440 0.000 0.000
0.000 5.440 0.000
0.000 0.000 4.911
Br As Rb Ti
2 1 1 1
Direct
0.500 0.000 0.000 Br
0.000 0.500 0.000 Br
0.000 0.000 0.500 As
0.500 0.500 0.500 Rb
0.000 0.000 0.000 Ti
```


[10]
Entry from Alexandria via LeMat-Bulk: crystalline Li2Ag2HgF6 at its relaxed geometry (PBE).

## Properties
For the calculated total energy, the calculation gives -3.6850 eV/atom. The space group is C2/m.

Cell and atoms, written as POSCAR:
```
Li2Ag2HgF6
1.0
5.542 0.000 -0.012
-2.739 4.818 -0.012
-1.068 -1.835 5.816
F Hg Li Ag
6 1 2 2
Direct
0.432 0.054 0.697 F
0.289 0.289 0.300 F
0.054 0.432 0.697 F
0.568 0.946 0.303 F
0.946 0.568 0.303 F
0.711 0.711 0.700 F
0.000 0.000 0.500 Hg
0.335 0.665 0.500 Li
0.665 0.335 0.500 Li
0.837 0.163 0.000 Ag
0.163 0.837 0.000 Ag
```


[11]
Entry from Alexandria via LeMat-Bulk: crystalline KYb2Cd2Sb3 at its relaxed geometry (PBE).

## Properties
For the calculated total energy, the calculation gives -2.9280 eV/atom. The space group is Pnma. As for the density of states at the Fermi level: 133.646 states/eV per cell.

Cell and atoms, written as POSCAR:
```
KYb2Cd2Sb3
1.0
4.846 0.000 0.000
0.000 12.267 0.000
0.000 0.000 15.898
Cd Yb Sb K
8 8 12 4
Direct
0.750 0.623 0.775 Cd
0.750 0.123 0.725 Cd
0.250 0.877 0.275 Cd
0.250 0.377 0.225 Cd
0.750 0.198 0.432 Cd
0.750 0.698 0.068 Cd
0.250 0.802 0.568 Cd
0.250 0.302 0.932 Cd
0.250 0.354 0.728 Yb
0.750 0.646 0.272 Yb
0.250 0.854 0.772 Yb
0.250 0.600 0.919 Yb
0.750 0.146 0.228 Yb
0.750 0.400 0.081 Yb
0.250 0.100 0.581 Yb
0.750 0.900 0.419 Yb
0.250 0.207 0.098 Sb
0.750 0.418 0.877 Sb
0.250 0.707 0.402 Sb
0.750 0.891 0.185 Sb
0.750 0.918 0.623 Sb
0.250 0.082 0.377 Sb
0.250 0.109 0.815 Sb
0.750 0.293 0.598 Sb
0.750 0.391 0.315 Sb
0.250 0.609 0.685 Sb
0.250 0.582 0.123 Sb
0.750 0.793 0.902 Sb
0.250 0.408 0.463 K
0.750 0.592 0.537 K
0.250 0.908 0.037 K
0.750 0.092 0.963 K
```


[12]
Entry from Alexandria via LeMat-Bulk: crystalline Cd2AgHW at its relaxed geometry (PBE).

## Properties
For the calculated total energy, the calculation gives -3.3944 eV/atom. The space group is P4/mmm. As for the density of states at the Fermi level: 1.915 states/eV per cell.

Cell and atoms, written as POSCAR:
```
Cd2AgHW
1.0
-4.067 2.067 1.846
-0.015 -2.240 2.474
2.771 3.006 2.739
H Ag W Cd
1 1 1 2
Direct
0.000 0.000 0.000 H
0.000 0.500 0.000 Ag
0.500 0.500 0.500 W
0.500 0.000 0.000 Cd
0.000 0.000 0.500 Cd
```


[13]
Entry from Alexandria via LeMat-Bulk: crystalline TbAlGa2 at its relaxed geometry (PBE).

## Properties
The space group is P4/mmm. The calculation puts the formation energy at -0.496 eV/atom. As for the density of states at the Fermi level: 1.363 states/eV per cell.

Cell and atoms, written as POSCAR:
```
TbAlGa2
1.0
4.211 0.000 0.000
0.000 4.310 0.000
0.000 0.000 4.310
Al Tb Ga
1 1 2
Direct
0.500 0.000 0.000 Al
0.500 0.500 0.500 Tb
0.000 0.000 0.500 Ga
0.000 0.500 0.000 Ga
```


[14]
Entry from Alexandria via LeMat-Bulk: crystalline NaSmBi2 at its relaxed geometry (PBE).

## Properties
The space group is Fm-3m. The calculation puts the formation energy at -0.437 eV/atom. As for the density of states at the Fermi level: 4.737 states/eV per cell.

Cell and atoms, written as POSCAR:
```
NaSmBi2
1.0
5.559 0.000 0.000
2.779 4.814 0.000
2.779 1.605 4.539
Bi Sm Na
2 1 1
Direct
0.750 0.750 0.750 Bi
0.250 0.250 0.250 Bi
0.000 0.000 0.000 Sm
0.500 0.500 0.500 Na
```


[15]
Entry from Alexandria via LeMat-Bulk: crystalline AcNd2Nb at its relaxed geometry (PBE).

## Properties
The space group is R-3m. The calculation puts the formation energy at 0.710 eV/atom. As for the density of states at the Fermi level: 8.073 states/eV per cell.

Cell and atoms, written as POSCAR:
```
AcNd2Nb
1.0
3.479 0.000 0.000
1.739 3.013 0.000
1.739 1.004 12.252
Nb Ac Nd
1 1 2
Direct
0.000 0.000 0.000 Nb
0.500 0.500 0.500 Ac
0.921 0.921 0.237 Nd
0.079 0.079 0.763 Nd
```


[16]
Entry from Alexandria via LeMat-Bulk: crystalline PmTiTc4 at its relaxed geometry (PBE).

## Properties
The space group is F-43m. The calculation puts the formation energy at 0.016 eV/atom. As for the density of states at the Fermi level: 11.097 states/eV per cell.

Cell and atoms, written as POSCAR:
```
PmTiTc4
1.0
-0.445 -1.222 -5.154
-2.949 -4.161 -1.500
-4.610 0.783 -2.529
Tc Ti Pm
4 1 1
Direct
0.624 0.127 0.624 Tc
0.624 0.624 0.624 Tc
0.127 0.624 0.624 Tc
0.624 0.624 0.127 Tc
0.250 0.250 0.250 Ti
0.000 0.000 0.000 Pm
```


[17]
Entry from Alexandria via LeMat-Bulk: crystalline Dy2TmBi4 at its relaxed geometry (PBE).

## Properties
The space group is Cmcm. The calculation puts the formation energy at -0.561 eV/atom. As for the density of states at the Fermi level: 6.481 states/eV per cell.

Cell and atoms, written as POSCAR:
```
Dy2TmBi4
1.0
-1.623 3.550 2.199
1.931 -4.298 3.800
15.563 7.065 0.083
Bi Dy Tm
8 4 2
Direct
0.847 0.695 0.750 Bi
0.145 0.291 0.876 Bi
0.500 0.000 0.000 Bi
0.855 0.709 0.376 Bi
0.145 0.291 0.624 Bi
0.153 0.305 0.250 Bi
0.500 0.000 0.500 Bi
0.855 0.709 0.124 Bi
0.838 0.676 0.926 Dy
0.162 0.324 0.426 Dy
0.838 0.676 0.574 Dy
0.162 0.324 0.074 Dy
0.445 0.890 0.250 Tm
0.555 0.110 0.750 Tm
```


[18]
Entry from Alexandria via LeMat-Bulk: crystalline NaThCu10 at its relaxed geometry (PBE).

## Properties
The space group is Pmmm. The calculation puts the formation energy at -0.035 eV/atom. As for the density of states at the Fermi level: 5.600 states/eV per cell.

Cell and atoms, written as POSCAR:
```
NaThCu10
1.0
4.086 0.000 0.000
0.000 5.089 0.000
0.000 0.000 8.674
Cu Na Th
10 1 1
Direct
0.000 0.000 0.676 Cu
0.500 0.000 0.500 Cu
0.000 0.000 0.324 Cu
0.500 0.253 0.252 Cu
0.500 0.253 0.748 Cu
0.500 0.500 0.000 Cu
0.000 0.500 0.840 Cu
0.000 0.500 0.160 Cu
0.500 0.747 0.252 Cu
0.500 0.747 0.748 Cu
0.000 0.000 0.000 Na
0.000 0.500 0.500 Th
```


[19]
Entry from Alexandria via LeMat-Bulk: crystalline SmY3Tm2Te6 at its relaxed geometry (PBE).

## Properties
For the calculated total energy, the calculation gives -5.6020 eV/atom. The space group is C2/m. As for the density of states at the Fermi level: 6.999 states/eV per cell.

Cell and atoms, written as POSCAR:
```
SmY3Tm2Te6
1.0
-0.077 2.013 -3.834
-0.558 -7.751 -4.059
-9.063 1.297 3.309
Tm Te Sm Y
2 6 1 3
Direct
0.836 0.670 0.673 Tm
0.164 0.330 0.327 Tm
0.329 0.910 0.657 Te
0.330 0.419 0.661 Te
0.003 0.256 0.006 Te
0.671 0.090 0.343 Te
0.997 0.744 0.994 Te
0.670 0.581 0.339 Te
0.500 0.000 0.000 Sm
0.160 0.834 0.321 Y
0.500 0.500 0.000 Y
0.840 0.166 0.679 Y
```


[20]
Entry from Alexandria via LeMat-Bulk: crystalline TmScS2 at its relaxed geometry (PBE).

## Properties
For the calculated total energy, the calculation gives -6.5932 eV/atom. The space group is P-3m1. As for the density of states at the Fermi level: 1.703 states/eV per cell.

Cell and atoms, written as POSCAR:
```
TmScS2
1.0
-3.386 -1.241 -0.546
1.538 -0.285 3.295
-2.468 5.999 1.672
S Tm Sc
2 1 1
Direct
0.333 0.167 0.261 S
0.667 0.833 0.739 S
0.000 0.500 0.000 Tm
0.000 0.500 0.500 Sc
```